No. 1
This record from Alexandria via LeMat-Bulk describes a relaxed structure of Ce2HoZn4. The functional is PBE.

Computed properties:
total DFT energy (no corrections) = -3.141 eV/atom

Cell lengths 5.0801, 5.0800, 7.5129 Å; angles 109.83, 109.76, 90.00 degrees
Element x y z (fractional)
Ce1 0.7296 0.7293 0.4591
Ce2 0.2704 0.2707 0.5409
Ho1 0.0000 0.0000 0.0000
Zn1 0.3945 0.8954 0.7890
Zn2 0.8945 0.3942 0.7890
Zn3 0.6055 0.1046 0.2110
Zn4 0.1055 0.6058 0.2110

***

No. 2
This record from Alexandria via LeMat-Bulk describes a relaxed structure of CeHo2Zn4. The functional is PBE.

Computed properties:
total DFT energy (no corrections) = -2.978 eV/atom

Cell lengths 5.1824, 5.1824, 7.2176 Å; angles 111.04, 111.04, 90.00 degrees
Element x y z (fractional)
Ce1 0.0000 0.0000 0.0000
Ho1 0.7252 0.7252 0.4504
Ho2 0.2748 0.2748 0.5496
Zn1 0.3869 0.8869 0.7738
Zn2 0.8869 0.3869 0.7738
Zn3 0.6131 0.1131 0.2262
Zn4 0.1131 0.6131 0.2262

***

No. 3
This record from Alexandria via LeMat-Bulk describes a relaxed structure of Ce2HoZr. The functional is PBE.

Computed properties:
energy relative to the lowest polymorph listed for this composition = 0.0055 eV/atom
total DFT energy (no corrections) = -6.127 eV/atom

Cell lengths 3.3607, 3.3607, 11.3331 Å; angles 81.47, 81.47, 60.00 degrees
Element x y z (fractional)
Zr1 0.0000 0.0000 0.0000
Ho1 0.5000 0.5000 0.5000
Ce1 0.7468 0.7468 0.7596
Ce2 0.2532 0.2532 0.2404

***

No. 4
This record from Alexandria via LeMat-Bulk describes a relaxed structure of CeHo2Zr. The functional is PBE.

Computed properties:
energy relative to the lowest polymorph listed for this composition = 0.0002 eV/atom
total DFT energy (no corrections) = -5.804 eV/atom

Cell lengths 3.3709, 3.3709, 10.0142 Å; angles 90.00, 90.00, 90.00 degrees
Element x y z (fractional)
Zr1 0.5000 0.5000 0.0000
Ho1 0.0000 0.0000 0.7687
Ho2 0.0000 0.0000 0.2313
Ce1 0.5000 0.5000 0.5000

***

No. 5
This record from Alexandria via LeMat-Bulk describes a relaxed structure of Ce2HoZr. The functional is PBE.

Computed properties:
energy relative to the lowest polymorph listed for this composition = 0.0163 eV/atom
total DFT energy (no corrections) = -6.116 eV/atom

Cell lengths 4.9954, 4.6823, 4.6823 Å; angles 90.00, 90.00, 90.00 degrees
Element x y z (fractional)
Zr1 0.5000 0.0000 0.0000
Ho1 0.5000 0.5000 0.5000
Ce1 0.0000 0.0000 0.5000
Ce2 0.0000 0.5000 0.0000

***

No. 6
This record from Alexandria via LeMat-Bulk describes a relaxed structure of CeHo14Zr. The functional is PBE.

Computed properties:
total DFT energy (no corrections) = -4.863 eV/atom

Cell lengths 7.0042, 7.0042, 9.8804 Å; angles 90.00, 90.00, 90.00 degrees
Element x y z (fractional)
Ce1 0.8749 0.1251 0.0000
Ho1 0.3750 0.6250 0.5000
Ho2 0.8750 0.1250 0.5000
Ho3 0.8749 0.6250 0.0000
Ho4 0.8750 0.6250 0.5000
Ho5 0.3750 0.1251 0.0000
Ho6 0.3750 0.1250 0.5000
Ho7 0.6211 0.8711 0.7555
Ho8 0.6211 0.8711 0.2445
Ho9 0.1289 0.3789 0.7555
Ho10 0.1289 0.3789 0.2445
Ho11 0.1289 0.8711 0.7555
Ho12 0.1289 0.8711 0.2445
Ho13 0.6211 0.3789 0.7554
Ho14 0.6211 0.3789 0.2446
Zr1 0.3750 0.6250 0.0000

***

No. 7
This record from Alexandria via LeMat-Bulk describes a relaxed structure of CeHo2Zr. The functional is PBE.

Computed properties:
energy relative to the lowest polymorph listed for this composition = 0.0023 eV/atom
total DFT energy (no corrections) = -5.802 eV/atom

Cell lengths 3.3988, 3.3988, 11.4404 Å; angles 81.46, 81.46, 60.00 degrees
Element x y z (fractional)
Ce1 0.5005 0.5005 0.4984
Ho1 0.0782 0.0782 0.7654
Ho2 0.2547 0.2547 0.2358
Zr1 0.6665 0.6665 0.0004

***

No. 8
This record from Alexandria via LeMat-Bulk describes a relaxed structure of Ce2HoZr. The functional is PBE.

Computed properties:
energy relative to the lowest polymorph listed for this composition = 0.1324 eV/atom
total DFT energy (no corrections) = -6.000 eV/atom

Cell lengths 5.4128, 5.4128, 5.4128 Å; angles 60.00, 60.00, 60.00 degrees
Element x y z (fractional)
Zr1 0.5000 0.5000 0.5000
Ho1 0.0000 0.0000 0.0000
Ce1 0.2500 0.2500 0.2500
Ce2 0.7500 0.7500 0.7500